Entry 1:
DFT (PBE) results for a geometry-optimized Na2CdPbN structure.

Calculated values
**N(E_F)**: 3.19 states/eV/cell
**Space-group type**: No. 123
**Formation energy without anion corrections**: 0.574 eV per atom

a b c (Å): 6.0582 3.8969 6.0582
angles (deg): 90.00 90.00 90.00
Last column: nearest neighbours and their distance in Å.
Fractional coordinates of all 5 atoms:
Pb 0.5000 0.5000 0.5000  8 Na 3.60, 2 Pb 3.90
Na 0.0000 0.0000 0.5000  2 Cd 3.03
Na 0.5000 0.0000 0.0000  2 Cd 3.03
N 0.0000 0.5000 0.0000  2 Cd 1.95
Cd 0.0000 0.0000 0.0000  2 N 1.95

Entry 2:
DFT (PBE) results for a geometry-optimized U2ZnGe3Ir4 structure.

Calculated values
**N(E_F)**: 16.07 states/eV/cell
**Energy of formation**: -4.379 eV per formula unit
**Space-group type**: No. 115

a b c (Å): 4.0712 4.0712 10.8309
angles (deg): 90.00 90.00 90.00
Last column: nearest neighbours and their distance in Å.
Fractional coordinates of all 10 atoms:
U 0.5000 0.0000 0.2565  4 Ir 3.05, 6 Ge 3.20-3.33, 2 Zn 3.33
U 0.0000 0.5000 0.7435  4 Ir 3.05, 6 Ge 3.20-3.33, 2 Zn 3.33
Zn 0.5000 0.5000 0.5000  4 Ir 2.60, 4 Ge 2.88
Ge 0.0000 0.0000 0.5000  4 Ir 2.60, 4 Zn 2.88
Ge 0.5000 0.0000 0.8718  5 Ir 2.40-2.46
Ge 0.0000 0.5000 0.1282  5 Ir 2.40-2.46
Ir 0.5000 0.5000 0.0000  4 Ge 2.46
Ir 0.0000 0.0000 0.0000  4 Ge 2.46
Ir 0.5000 0.0000 0.6498  3 Ge 2.40-2.60, 2 Zn 2.60
Ir 0.0000 0.5000 0.3502  3 Ge 2.40-2.60, 2 Zn 2.60

Entry 3:
DFT (PBE) results for a geometry-optimized TbEuCdBi structure.

Calculated values
**N(E_F)**: 4.22 states/eV/cell
**Energy of formation**: -1.876 eV per formula unit
**Space-group type**: No. 216

a b c (Å): 5.5142 5.5142 5.5142
angles (deg): 60.00 60.00 60.00
Last column: nearest neighbours and their distance in Å.
Fractional coordinates of all 4 atoms:
Eu 0.5000 0.5000 0.5000  4 Cd 3.38, 4 Bi 3.38
Tb 0.0000 0.0000 0.0000  4 Bi 3.38, 4 Cd 3.38
Bi 0.7500 0.7500 0.7500  4 Eu 3.38, 4 Tb 3.38
Cd 0.2500 0.2500 0.2500  4 Tb 3.38, 4 Eu 3.38

Question: Which of these has the highest N(E_F)?
Answer: U2ZnGe3Ir4